[1]
## EuDy3 (PBE-GGA)

Data for a relaxed EuDy3 crystal.

Cell lengths 5.7351, 5.7351, 5.7351 Å; angles 60.00, 60.00, 60.00 degrees
With the nearest neighbours (Å) after each atom.
Fractional coordinates of all 4 atoms:
Eu 0.0000 0.0000 0.0000  8 Dy 3.51
Dy 0.2500 0.2500 0.2500  4 Dy 3.51, 4 Eu 3.51
Dy 0.5000 0.5000 0.5000  8 Dy 3.51
Dy 0.7500 0.7500 0.7500  4 Eu 3.51, 4 Dy 3.51

Output
For the formation energy, the calculation gives 0.7 eV per formula unit. The volume is 33.346 A^3/atom. The density of states at the Fermi level comes out at 1.908 states/eV/atom. The symmetry is Fm-3m, No. 225. The value obtained for the energy relative to the lowest polymorph listed for this composition is 0.389 eV/f.u.

---

[2]
## Eu2Dy (PBE-GGA)

Data for a relaxed Eu2Dy crystal.

Cell lengths 8.5053, 8.5053, 8.5053 Å; angles 154.71, 154.71, 36.07 degrees
With the nearest neighbours (Å) after each atom.
Fractional coordinates of all 3 atoms:
Eu 0.1614 0.1614 0.0000  4 Dy 3.71, 8 Eu 3.72-3.89
Eu 0.8386 0.8386 0.0000  4 Dy 3.71, 8 Eu 3.72-3.89
Dy 0.5000 0.5000 0.0000  8 Eu 3.71, 4 Dy 3.72

Output
For the formation energy, the calculation gives 0.3 eV per formula unit. The volume is 37.388 A^3/atom. The density of states at the Fermi level comes out at 1.285 states/eV/atom. The symmetry is I4/mmm, No. 139. The value obtained for the energy relative to the lowest polymorph listed for this composition is 0.000 eV/f.u.

---

[3]
## EuDy3 (PBE-GGA)

Data for a relaxed EuDy3 crystal.

Cell lengths 6.8379, 6.8379, 6.8379 Å; angles 149.14, 64.54, 124.85 degrees
With the nearest neighbours (Å) after each atom.
Fractional coordinates of all 4 atoms:
Eu 0.0000 0.0000 0.0000  10 Dy 3.53-3.67, 2 Eu 3.64
Dy 0.4197 0.6632 0.7564  9 Dy 3.51-3.65, 3 Eu 3.53-3.63
Dy 0.4966 0.9966 0.5000  8 Dy 3.51-3.64, 4 Eu 3.63-3.67
Dy 0.9068 0.6632 0.2436  9 Dy 3.51-3.65, 3 Eu 3.53-3.63

Output
For the formation energy, the calculation gives 0.3 eV per formula unit. The volume is 33.298 A^3/atom. The density of states at the Fermi level comes out at 1.575 states/eV/atom. The symmetry is Imm2, No. 44. The value obtained for the energy relative to the lowest polymorph listed for this composition is 0.000 eV/f.u.

---

[4]
## EuDy3 (PBE-GGA)

Data for a relaxed EuDy3 crystal.

Cell lengths 5.0875, 5.0875, 5.0875 Å; angles 90.00, 90.00, 90.00 degrees
With the nearest neighbours (Å) after each atom.
Fractional coordinates of all 4 atoms:
Eu 0.0000 0.0000 0.0000  12 Dy 3.60
Dy 0.0000 0.5000 0.5000  8 Dy 3.60, 4 Eu 3.60
Dy 0.5000 0.0000 0.5000  8 Dy 3.60, 4 Eu 3.60
Dy 0.5000 0.5000 0.0000  8 Dy 3.60, 4 Eu 3.60

Output
For the formation energy, the calculation gives 0.4 eV per formula unit. The volume is 32.920 A^3/atom. The density of states at the Fermi level comes out at 1.478 states/eV/atom. The symmetry is Pm-3m, No. 221. The value obtained for the energy relative to the lowest polymorph listed for this composition is 0.091 eV/f.u.

---

[5]
## Eu5Dy (PBE-GGA)

Data for a relaxed Eu5Dy crystal.

Cell lengths 10.0504, 10.0504, 6.6593 Å; angles 90.00, 90.00, 159.40 degrees
With the nearest neighbours (Å) after each atom.
Fractional coordinates of all 6 atoms:
Eu 0.0000 0.0000 0.0000  6 Eu 3.59-3.76, 4 Dy 3.78
Eu 0.3319 0.6681 0.5000  1 Dy 3.32, 6 Eu 3.33-3.70
Eu 0.3329 0.6671 0.0000  4 Eu 3.33-3.59
Eu 0.6671 0.3329 0.0000  4 Eu 3.33-3.59
Eu 0.6681 0.3319 0.5000  1 Dy 3.32, 6 Eu 3.33-3.70
Dy 0.5000 0.5000 0.5000  2 Eu 3.32, 2 Dy 3.59

Output
For the formation energy, the calculation gives 2.0 eV per formula unit. The volume is 39.450 A^3/atom. The density of states at the Fermi level comes out at 1.187 states/eV/atom. The symmetry is Cmmm, No. 65.

---

[6]
## Eu2Dy (PBE-GGA)

Data for a relaxed Eu2Dy crystal.

Cell lengths 6.8600, 6.8600, 6.8600 Å; angles 60.00, 60.00, 60.00 degrees
With the nearest neighbours (Å) after each atom.
Fractional coordinates of all 6 atoms:
Eu 0.0000 0.0000 0.0000  6 Eu 3.43
Eu 0.0000 0.0000 0.5000  6 Eu 3.43
Eu 0.0000 0.5000 0.0000  6 Eu 3.43
Eu 0.5000 0.0000 0.0000  6 Eu 3.43
Dy 0.3750 0.3750 0.3750  12 Eu 4.02, 4 Dy 4.20
Dy 0.6250 0.6250 0.6250  12 Eu 4.02, 4 Dy 4.20

Output
For the formation energy, the calculation gives 0.9 eV per formula unit. The volume is 38.045 A^3/atom. The density of states at the Fermi level comes out at 1.551 states/eV/atom. The symmetry is Fd-3m, No. 227. The value obtained for the energy relative to the lowest polymorph listed for this composition is 0.663 eV/f.u.

---

[7]
## EuDy3 (PBE-GGA)

Data for a relaxed EuDy3 crystal.

Cell lengths 3.6323, 5.7868, 6.3481 Å; angles 90.00, 90.00, 90.00 degrees
With the nearest neighbours (Å) after each atom.
Fractional coordinates of all 4 atoms:
Eu 0.0000 0.0000 0.0000  10 Dy 3.59-3.67, 2 Eu 3.63
Dy 0.0000 0.5000 0.6618  10 Dy 3.57-3.73, 2 Eu 3.60
Dy 0.5000 0.0000 0.4985  8 Dy 3.55-3.63, 4 Eu 3.65-3.67
Dy 0.5000 0.5000 0.1751  8 Dy 3.55-3.73, 4 Eu 3.59

Output
For the formation energy, the calculation gives 0.3 eV per formula unit. The volume is 33.358 A^3/atom. The density of states at the Fermi level comes out at 1.633 states/eV/atom. The symmetry is Pmm2, No. 25. The value obtained for the energy relative to the lowest polymorph listed for this composition is 0.017 eV/f.u.

---

[8]
## EuDy3 (PBE-GGA)

Data for a relaxed EuDy3 crystal.

Cell lengths 6.2294, 6.2294, 6.2294 Å; angles 131.75, 131.75, 70.62 degrees
With the nearest neighbours (Å) after each atom.
Fractional coordinates of all 4 atoms:
Eu 0.0000 0.0000 0.0000  12 Dy 3.60
Dy 0.2500 0.7500 0.5000  8 Dy 3.60, 4 Eu 3.60
Dy 0.5000 0.5000 0.0000  8 Dy 3.60, 4 Eu 3.60
Dy 0.7500 0.2500 0.5000  8 Dy 3.60, 4 Eu 3.60

Output
For the formation energy, the calculation gives 0.4 eV per formula unit. The volume is 32.950 A^3/atom. The density of states at the Fermi level comes out at 1.602 states/eV/atom. The symmetry is I4/mmm, No. 139. The value obtained for the energy relative to the lowest polymorph listed for this composition is 0.080 eV/f.u.